# RbCaMgAg2, relaxed, DFT PBE
# VASP energy	-1.251	eV/atom
# total moment	0.00	Bohr magnetons per cell
# calculated formation energy	4.01	eV/f.u.
data_RbCaMgAg2
_space_group_name_H-M_alt 'P 1'
_space_group_IT_number 1
_space_group_name_Hall 'P 1'
_cell_length_a 5.853
_cell_length_b 5.853
_cell_length_c 5.967
_cell_angle_alpha 90.00
_cell_angle_beta 90.00
_cell_angle_gamma 90.00
loop_
_atom_site_label
_atom_site_type_symbol
_atom_site_fract_x
_atom_site_fract_y
_atom_site_fract_z
Rb1 Rb 0.000 0.000 0.000
Ca1 Ca 0.500 0.500 0.500
Mg1 Mg 0.000 0.000 0.500
Ag1 Ag 0.000 0.500 0.000
Ag2 Ag 0.500 0.000 0.000